Entry 1:
CaSi2Au at its PBEsol-relaxed geometry, computed with meta-GGA SCAN.

Unit cell a=3.080 b=4.543 c=5.207 alpha=90.00 beta=90.00 gamma=90.00
Fractional positions:
Ca 0.000 0.000 0.000
Si 0.500 0.000 0.509
Si 0.500 0.500 0.743
Au 0.500 0.500 0.248

Crystal system = orthorhombic
Calculated density = 6.68 g/cm³
Electronic total energy = -24.9541 eV per atom



Entry 2:
Ba2Tl2O5 at its PBEsol-relaxed geometry, computed with meta-GGA SCAN.

Unit cell a=6.021 b=17.194 c=6.344 alpha=90.00 beta=90.00 gamma=90.00
Fractional positions:
Ba 0.004 0.110 0.020
Ba 0.004 0.390 0.020
Ba 0.496 0.610 0.520
Ba 0.496 0.890 0.520
Ba 0.504 0.110 0.480
Ba 0.504 0.390 0.480
Ba 0.996 0.610 0.980
Ba 0.996 0.890 0.980
Tl 0.000 0.000 0.500
Tl 0.000 0.500 0.500
Tl 0.027 0.250 0.557
Tl 0.473 0.750 0.057
Tl 0.500 0.000 0.000
Tl 0.500 0.500 0.000
Tl 0.527 0.250 0.943
Tl 0.973 0.750 0.443
O 0.031 0.638 0.567
O 0.031 0.862 0.567
O 0.106 0.750 0.117
O 0.247 0.009 0.774
O 0.247 0.491 0.774
O 0.253 0.509 0.274
O 0.253 0.991 0.274
O 0.394 0.250 0.617
O 0.469 0.138 0.067
O 0.469 0.362 0.067
O 0.531 0.638 0.933
O 0.531 0.862 0.933
O 0.606 0.750 0.383
O 0.747 0.009 0.726
O 0.747 0.491 0.726
O 0.753 0.509 0.226
O 0.753 0.991 0.226
O 0.894 0.250 0.883
O 0.969 0.138 0.433
O 0.969 0.362 0.433

Crystal system = orthorhombic
Calculated density = 7.72 g/cm³
Electronic total energy = -30.0565 eV per atom



Entry 3:
Ag4TeRh at its PBEsol-relaxed geometry, computed with meta-GGA SCAN.

Unit cell a=5.344 b=5.344 c=5.344 alpha=60.00 beta=60.00 gamma=60.00
Fractional positions:
Ag 0.124 0.124 0.124
Ag 0.124 0.124 0.627
Ag 0.124 0.627 0.124
Ag 0.627 0.124 0.124
Te 0.500 0.500 0.500
Rh 0.750 0.750 0.750

Crystal system = cubic
Calculated density = 10.18 g/cm³
Electronic total energy = -32.4079 eV per atom



Entry 4:
Re2Sb at its PBEsol-relaxed geometry, computed with meta-GGA SCAN.

Unit cell a=5.095 b=5.095 c=7.064 alpha=105.67 beta=105.67 gamma=34.73
Fractional positions:
Re 0.151 0.151 0.031
Re 0.217 0.217 0.651
Re 0.783 0.783 0.349
Re 0.849 0.849 0.969
Sb 0.497 0.497 0.719
Sb 0.503 0.503 0.281

Crystal system = monoclinic
Calculated density = 16.38 g/cm³
Relative energy among the computed polymorphs = 78 meV per atom
Electronic total energy = -59.3721 eV per atom



calculated density of number 3 (Ag4TeRh)? 10.18 g/cm³



Please write out number 4 again, unchanged.
Re2Sb at its PBEsol-relaxed geometry, computed with meta-GGA SCAN.

Unit cell a=5.095 b=5.095 c=7.064 alpha=105.67 beta=105.67 gamma=34.73
Fractional positions:
Re 0.151 0.151 0.031
Re 0.217 0.217 0.651
Re 0.783 0.783 0.349
Re 0.849 0.849 0.969
Sb 0.497 0.497 0.719
Sb 0.503 0.503 0.281

Crystal system = monoclinic
Calculated density = 16.38 g/cm³
Relative energy among the computed polymorphs = 78 meV per atom
Electronic total energy = -59.3721 eV per atom



Which of these has the lowest calculated density? CaSi2Au